(1)
# LaTcTe2

LaTcTe2 after structural relaxation (PBE, Alexandria).

Cell: 4.4559 4.4559 6.2587 Å, 90.00 90.00 120.00°
Element x y z (fractional)
La: 0.0000 0.0000 0.0000
Tc: 0.0000 0.0000 0.5000
Te: 0.3333 0.6667 0.3198
Te: 0.6667 0.3333 0.6802

Properties
Its space group is P-3m1, No. 164. Its energy relative to the lowest polymorph listed for this composition is 0.47 eV per formula unit. Its density is 7.60 g/cm3. As for the magnetization: 0.000 μB/f.u. The crystal system is trigonal.



(2)
# Ru3Au

Ru3Au after structural relaxation (PBE, Alexandria).

Cell: 5.2263 5.2263 5.2263 Å, 117.08 117.08 117.08°
Element x y z (fractional)
Ru: 0.0000 0.5000 0.5000
Ru: 0.5000 0.0000 0.5000
Ru: 0.5000 0.5000 0.0000
Au: 0.0000 0.0000 0.0000

Properties
Its energy of formation from the pure elements is 0.71 eV per atom. Its space group is R-3m, No. 166. Its energy relative to the lowest polymorph listed for this composition is 2.14 eV per formula unit. Its density is 13.36 g/cm3. As for the magnetization: 3.967 μB/f.u. The crystal system is trigonal.



(3)
# Pa8FeGe2

Pa8FeGe2 after structural relaxation (PBE, Alexandria).

Cell: 8.7180 8.7180 6.7852 Å, 93.80 93.80 29.12°
Element x y z (fractional)
Pa: 0.0006 0.0006 0.2498
Pa: 0.2092 0.2092 0.3446
Pa: 0.3571 0.3571 0.9282
Pa: 0.4018 0.4018 0.4401
Pa: 0.5982 0.5982 0.5599
Pa: 0.6429 0.6429 0.0718
Pa: 0.7908 0.7908 0.6554
Pa: 0.9994 0.9994 0.7502
Fe: 0.5000 0.5000 0.0000
Ge: 0.1838 0.1838 0.7975
Ge: 0.8162 0.8162 0.2025

Properties
Its energy of formation from the pure elements is -0.16 eV per atom. Its space group is C2/m, No. 12. Its density is 13.59 g/cm3. As for the magnetization: 0.000 μB/f.u. The crystal system is monoclinic.



(4)
# TmZrNi

TmZrNi after structural relaxation (PBE, Alexandria).

Cell: 6.8451 6.8451 6.2610 Å, 116.26 116.26 29.16°
Element x y z (fractional)
Tm: 0.2098 0.2098 0.2113
Tm: 0.7902 0.7902 0.7887
Zr: 0.4974 0.4974 0.2402
Zr: 0.5026 0.5026 0.7598
Ni: 0.1091 0.1091 0.6050
Ni: 0.8909 0.8909 0.3950

Properties
Its energy of formation from the pure elements is -0.27 eV per atom. Its space group is C2/m, No. 12. Its energy relative to the lowest polymorph listed for this composition is 0.00 eV per formula unit. Its density is 8.33 g/cm3. As for the magnetization: 0.000 μB/f.u. The crystal system is monoclinic.



Number 1: energy -6.07 eV per atom. Number 2: energy -7.07 eV per atom. Number 3: energy -8.68 eV per atom. Number 4: energy -6.54 eV per atom.